Version P
This record from the Alexandria database describes a PBEsol-optimized structure of Ba2SrSi2. The functional is SCAN.

Structure (POSCAR):
```
Ba2SrSi2
1.0
5.072 0.000 0.000
0.000 8.129 0.000
0.000 0.000 8.129
Ba Sr Si
4 2 4
direct
0.500 0.172 0.672 Ba
0.500 0.672 0.828 Ba
0.500 0.328 0.172 Ba
0.500 0.828 0.328 Ba
0.000 0.000 0.000 Sr
0.000 0.500 0.500 Sr
0.000 0.603 0.103 Si
0.000 0.103 0.397 Si
0.000 0.397 0.897 Si
0.000 0.897 0.603 Si
```

## Properties
SG = No. 127
Total moment = 0.4 μB/f.u.

Version Q
This record from the Alexandria database describes a PBEsol-optimized structure of Ba2SrSi2. The functional is SCAN.

Structure (POSCAR):
```
Ba2SrSi2
1.0
-0.512 -4.122 2.619
2.549 -2.471 -3.392
4.820 4.707 3.747
Ba Si Sr
2 2 1
direct
0.250 0.750 0.500 Ba
0.750 0.250 0.500 Ba
0.584 0.584 0.167 Si
0.416 0.416 0.833 Si
0.000 0.000 0.000 Sr
```

## Properties
SG = No. 139
Total moment = 0.0 μB/f.u.

Which one sits at the top of the stability order? version P does.

Version P
This record from the Alexandria database describes a PBEsol-optimized structure of Ba2SiTe. The functional is SCAN.

Structure (POSCAR):
```
Ba2SiTe
1.0
5.786 0.000 0.000
2.893 5.011 0.000
2.893 1.670 4.724
Te Ba Si
1 2 1
direct
0.500 0.500 0.500 Te
0.750 0.750 0.750 Ba
0.250 0.250 0.250 Ba
0.000 0.000 0.000 Si
```

## Properties
SG = No. 225
Total moment = 1.9 μB/f.u.

Version Q
This record from the Alexandria database describes a PBEsol-optimized structure of Ba2SiTe. The functional is SCAN.

Structure (POSCAR):
```
Ba2SiTe
1.0
-4.174 2.078 -1.045
-1.721 -4.204 -1.482
1.028 -0.064 6.690
Ba Si Te
2 1 1
direct
0.750 0.250 0.500 Ba
0.000 0.000 0.000 Ba
0.500 0.500 0.000 Si
0.250 0.750 0.500 Te
```

## Properties
SG = No. 119
Total moment = 0.0 μB/f.u.

Which one sits at the top of the stability order? version P does.

Version P
This record from the Alexandria database describes a PBEsol-optimized structure of Ba2SiTe. The functional is SCAN.

Structure (POSCAR):
```
Ba2SiTe
1.0
5.622 0.000 0.000
2.811 4.869 0.000
2.811 1.623 4.591
Si Te Ba
1 1 2
direct
0.500 0.500 0.500 Si
0.250 0.250 0.250 Te
0.750 0.750 0.750 Ba
0.000 0.000 0.000 Ba
```

## Properties
SG = No. 216
Total moment = 0.0 μB/f.u.

Version Q
This record from the Alexandria database describes a PBEsol-optimized structure of Ba2SiTe. The functional is SCAN.

Structure (POSCAR):
```
Ba2SiTe
1.0
-3.623 1.686 2.364
0.342 -3.899 3.303
5.454 3.030 1.639
Ba Te Si
2 1 1
direct
0.744 0.651 0.489 Ba
0.001 0.099 0.002 Ba
0.287 0.186 0.574 Te
0.468 0.564 0.936 Si
```

## Properties
SG = No. 8
Total moment = 0.0 μB/f.u.

Which one sits at the top of the stability order? version Q does.

Version P
This record from the Alexandria database describes a PBEsol-optimized structure of BaYSi2. The functional is SCAN.

Structure (POSCAR):
```
BaYSi2
1.0
4.936 0.000 0.000
-2.468 4.761 0.003
0.000 2.556 4.223
Y Ba Si
1 1 2
direct
0.000 0.000 0.000 Y
0.500 0.000 0.500 Ba
0.750 0.500 0.750 Si
0.250 0.500 0.250 Si
```

## Properties
SG = No. 139
Total moment = 0.0 μB/f.u.

Version Q
This record from the Alexandria database describes a PBEsol-optimized structure of BaYSi2. The functional is SCAN.

Structure (POSCAR):
```
BaYSi2
1.0
3.839 0.000 0.000
0.000 3.839 0.000
0.000 0.000 6.901
Si Y Ba
2 1 1
direct
0.000 0.000 0.173 Si
0.000 0.000 0.827 Si
0.500 0.500 0.000 Y
0.500 0.500 0.500 Ba
```

## Properties
SG = No. 123
Total moment = 0.0 μB/f.u.

Which one sits at the top of the stability order? version Q does.

Version P
This record from the Alexandria database describes a PBEsol-optimized structure of BaYSi2. The functional is SCAN.

Structure (POSCAR):
```
BaYSi2
1.0
-2.437 -3.099 -0.330
3.566 0.124 -3.792
2.438 -2.495 5.428
Si Ba Y
2 1 1
direct
0.761 0.522 0.892 Si
0.239 0.478 0.108 Si
0.000 0.000 0.500 Ba
0.500 0.000 0.000 Y
```

## Properties
SG = No. 12
Total moment = 0.9 μB/f.u.

Version Q
This record from the Alexandria database describes a PBEsol-optimized structure of BaYSi2. The functional is SCAN.

Structure (POSCAR):
```
BaYSi2
1.0
-2.430 -0.456 -2.903
-0.312 -4.390 0.950
-3.335 3.571 4.735
Si Ba Y
2 1 1
direct
0.040 0.040 0.080 Si
0.666 0.166 0.332 Si
0.279 0.779 0.559 Ba
0.515 0.515 0.030 Y
```

## Properties
SG = No. 44
Total moment = 0.0 μB/f.u.

Which one sits at the top of the stability order? version Q does.

Version P
This record from the Alexandria database describes a PBEsol-optimized structure of Ba2ZnSi. The functional is SCAN.

Structure (POSCAR):
```
Ba2ZnSi
1.0
-1.559 3.490 1.563
-4.964 -2.251 0.072
4.119 -2.358 3.917
Ba Zn Si
2 1 1
direct
0.782 0.782 0.564 Ba
0.973 0.473 0.946 Ba
0.185 0.185 0.371 Zn
0.560 0.060 0.119 Si
```

## Properties
SG = No. 44
Total moment = 0.0 μB/f.u.

Version Q
This record from the Alexandria database describes a PBEsol-optimized structure of Ba2ZnSi. The functional is SCAN.

Structure (POSCAR):
```
Ba2ZnSi
1.0
-0.229 3.491 -4.394
-0.312 -2.064 -5.214
-4.758 0.505 -2.940
Ba Si Zn
2 1 1
direct
0.250 0.250 0.250 Ba
0.750 0.750 0.750 Ba
0.000 0.000 0.000 Si
0.500 0.500 0.500 Zn
```

## Properties
SG = No. 225
Total moment = 0.0 μB/f.u.

Version R
This record from the Alexandria database describes a PBEsol-optimized structure of Ba2ZnSi. The functional is SCAN.

Structure (POSCAR):
```
Ba2ZnSi
1.0
4.390 0.000 0.000
0.000 4.876 0.000
0.000 -2.438 5.972
Zn Ba Si
1 2 1
direct
0.500 0.701 0.401 Zn
0.500 0.391 0.783 Ba
0.000 0.104 0.207 Ba
0.000 0.805 0.610 Si
```

## Properties
SG = No. 38
Total moment = 0.0 μB/f.u.

Which one sits at the top of the stability order? version R does.

Version P
This record from the Alexandria database describes a PBEsol-optimized structure of BaZrSi2. The functional is SCAN.

Structure (POSCAR):
```
BaZrSi2
1.0
-2.745 -0.125 1.163
0.055 -5.424 -0.446
2.130 -0.371 4.994
Ba Si Zr
1 2 1
direct
0.500 0.000 0.000 Ba
0.000 0.500 0.000 Si
0.000 0.000 0.500 Si
0.500 0.500 0.500 Zr
```

## Properties
SG = No. 65
Total moment = 0.0 μB/f.u.

Version Q
This record from the Alexandria database describes a PBEsol-optimized structure of BaZrSi2. The functional is SCAN.

Structure (POSCAR):
```
BaZrSi2
1.0
3.643 0.000 0.000
0.000 3.643 0.000
0.000 0.000 6.826
Si Zr Ba
2 1 1
direct
0.000 0.000 0.827 Si
0.000 0.000 0.173 Si
0.500 0.500 0.000 Zr
0.500 0.500 0.500 Ba
```

## Properties
SG = No. 123
Total moment = 0.0 μB/f.u.

Version R
This record from the Alexandria database describes a PBEsol-optimized structure of BaZrSi2. The functional is SCAN.

Structure (POSCAR):
```
BaZrSi2
1.0
-4.221 0.968 -2.361
-2.457 -3.637 -2.250
-4.284 -1.595 1.852
Ba Zr Si
1 1 2
direct
0.500 0.500 0.500 Ba
0.250 0.250 0.250 Zr
0.000 0.000 0.000 Si
0.750 0.750 0.750 Si
```

## Properties
SG = No. 216
Total moment = 0.0 μB/f.u.

Which one sits at the top of the stability order? version Q does.

Version P
This record from the Alexandria database describes a PBEsol-optimized structure of BaZrSi2. The functional is SCAN.

Structure (POSCAR):
```
BaZrSi2
1.0
-3.670 -0.152 0.598
0.665 -0.699 3.907
-0.410 6.868 -0.775
Zr Si Ba
1 2 1
direct
0.000 0.147 0.295 Zr
0.500 0.665 0.329 Si
0.000 0.785 0.571 Si
0.500 0.416 0.832 Ba
```

## Properties
SG = No. 38
Total moment = 0.0 μB/f.u.

Version Q
This record from the Alexandria database describes a PBEsol-optimized structure of BaZrSi2. The functional is SCAN.

Structure (POSCAR):
```
BaZrSi2
1.0
3.738 0.000 0.000
-1.869 4.560 0.058
0.000 -2.119 5.916
Si Ba Zr
2 1 1
direct
0.269 0.539 0.389 Si
0.731 0.461 0.611 Si
0.500 0.000 0.000 Ba
0.000 0.000 0.500 Zr
```

## Properties
SG = No. 12
Total moment = 0.0 μB/f.u.

Which one sits at the top of the stability order? version P does.